19
Lattice="6.043 -0.039 -0.047 -0.955 5.967 -0.047 -0.955 -1.112 5.862" Properties=species:S:1:pos:R:3 comment="MoRh6O12 (PBE+U, relaxed)" volume_a3_per_atom=11.080 magnetic_moment_mub_per_cell=0.00 final_energy_ev_per_atom=-6.451 pbc="T T T"
Mo 0.000 0.000 0.000
Rh 3.025 4.617 2.418
Rh 3.056 1.590 0.794
Rh 0.028 3.096 1.706
Rh 1.108 0.199 3.351
Rh 1.078 3.226 4.975
Rh 4.105 1.720 4.063
O 4.055 2.867 2.302
O 1.118 4.274 3.233
O 2.219 1.471 4.783
O 0.078 1.948 3.467
O 3.016 0.541 2.537
O 1.914 3.345 0.986
O -1.013 5.560 1.822
O -1.515 2.995 5.599
O 3.190 5.696 -0.027
O 5.146 -0.744 3.947
O 5.649 1.821 0.170
O 0.943 -0.880 5.796